(i)
A plane-wave DFT calculation with PBE was carried out for Re3TcB after structural relaxation.

```
Re3TcB
1.0
4.672 0.000 0.000
0.000 4.672 0.000
0.000 0.000 4.672
Re B Tc
3 1 1
Direct
0.000 0.500 0.000 Re
0.000 0.000 0.500 Re
0.500 0.000 0.000 Re
0.500 0.500 0.500 B
0.000 0.000 0.000 Tc
```

Theoretical density in Mg/m³: 10.866
SG: Pm-3m

(ii)
A plane-wave DFT calculation with PBE was carried out for Re3TcB after structural relaxation.

```
Re3TcB
1.0
-2.087 -2.936 -2.107
1.208 -1.207 4.617
-6.354 4.824 -0.428
Re Tc B
6 2 2
Direct
0.857 0.714 0.783 Re
0.143 0.286 0.217 Re
0.614 0.228 0.929 Re
0.386 0.772 0.071 Re
0.875 0.750 0.332 Re
0.125 0.250 0.668 Re
0.376 0.751 0.565 Tc
0.624 0.249 0.435 Tc
0.121 0.243 0.935 B
0.879 0.757 0.065 B
```

Theoretical density in Mg/m³: 16.555
SG: C2/m

(iii)
A plane-wave DFT calculation with PBE was carried out for Re3TcB after structural relaxation.

```
Re3TcB
1.0
0.711 -3.031 4.426
5.057 -0.136 1.920
1.902 2.427 6.105
Re Tc B
6 2 2
Direct
0.958 0.458 0.817 Re
0.458 0.958 0.817 Re
0.542 0.042 0.183 Re
0.447 0.447 0.355 Re
0.042 0.542 0.183 Re
0.553 0.553 0.645 Re
0.053 0.053 0.646 Tc
0.947 0.947 0.354 Tc
0.752 0.752 0.998 B
0.248 0.248 0.002 B
```

Theoretical density in Mg/m³: 16.534
SG: C2/m

Quick one: most stable of them? (iii)

(i)
A plane-wave DFT calculation with PBE was carried out for ReTc2B2 after structural relaxation.

```
ReTc2B2
1.0
3.872 0.000 0.000
0.000 3.872 0.000
1.936 1.936 4.042
Re B Tc
1 2 2
Direct
0.000 0.000 0.000 Re
0.750 0.250 0.500 B
0.250 0.750 0.500 B
0.350 0.350 0.300 Tc
0.650 0.650 0.700 Tc
```

Theoretical density in Mg/m³: 11.066
SG: I4/mmm

(ii)
A plane-wave DFT calculation with PBE was carried out for ReTc2B2 after structural relaxation.

```
ReTc2B2
1.0
6.575 0.000 0.000
0.000 6.575 0.000
0.000 0.000 2.719
Re B Tc
2 4 4
Direct
0.000 0.000 0.000 Re
0.500 0.500 0.000 Re
0.159 0.659 0.500 B
0.659 0.841 0.500 B
0.841 0.341 0.500 B
0.341 0.159 0.500 B
0.363 0.863 0.000 Tc
0.863 0.637 0.000 Tc
0.637 0.137 0.000 Tc
0.137 0.363 0.000 Tc
```

Theoretical density in Mg/m³: 11.408
SG: P4/mbm

Quick one: most stable of them? (ii)

(i)
A plane-wave DFT calculation with PBE was carried out for ReTcB2 after structural relaxation.

```
ReTcB2
1.0
-3.367 -1.925 -0.136
-1.489 -1.535 3.238
-3.184 1.544 1.593
Re B Tc
1 2 1
Direct
0.500 0.500 0.500 Re
0.250 0.250 0.250 B
0.750 0.750 0.750 B
0.000 0.000 0.000 Tc
```

Theoretical density in Mg/m³: 12.290
SG: Fm-3m

(ii)
A plane-wave DFT calculation with PBE was carried out for ReTcB2 after structural relaxation.

```
ReTcB2
1.0
-2.153 -0.137 -4.605
-2.370 -4.982 1.256
-4.962 2.924 2.233
Re Tc B
4 4 8
Direct
0.750 0.862 0.768 Re
0.750 0.362 0.732 Re
0.250 0.138 0.232 Re
0.250 0.638 0.268 Re
0.750 0.869 0.234 Tc
0.750 0.369 0.266 Tc
0.250 0.131 0.766 Tc
0.250 0.631 0.734 Tc
0.927 0.654 0.499 B
0.573 0.154 0.001 B
0.427 0.346 0.501 B
0.073 0.846 0.999 B
0.073 0.346 0.501 B
0.427 0.846 0.999 B
0.573 0.654 0.499 B
0.927 0.154 0.001 B
```

Theoretical density in Mg/m³: 11.429
SG: Pnma

Quick one: most stable of them? (ii)

(i)
A plane-wave DFT calculation with PBE was carried out for ReB3Te after structural relaxation.

```
ReB3Te
1.0
4.269 0.000 0.000
0.000 4.269 0.000
0.000 0.000 4.269
Re B Te
1 3 1
Direct
0.500 0.500 0.500 Re
0.000 0.500 0.000 B
0.000 0.000 0.500 B
0.500 0.000 0.000 B
0.000 0.000 0.000 Te
```

Theoretical density in Mg/m³: 7.389
SG: Pm-3m

(ii)
A plane-wave DFT calculation with PBE was carried out for ReB3Te after structural relaxation.

```
ReB3Te
1.0
-4.073 1.007 -0.680
0.526 -0.683 -4.162
-1.095 -4.073 0.530
Re B Te
1 3 1
Direct
0.000 0.000 0.000 Re
0.000 0.500 0.000 B
0.000 0.000 0.500 B
0.500 0.000 0.000 B
0.500 0.500 0.500 Te
```

Theoretical density in Mg/m³: 7.487
SG: Pm-3m

Quick one: most stable of them? (ii)

(i)
A plane-wave DFT calculation with PBE was carried out for ReB2Te2 after structural relaxation.

```
ReB2Te2
1.0
-4.946 4.842 -2.127
-5.253 -4.155 2.753
0.283 1.559 2.892
Re B Te
2 4 4
Direct
0.000 0.000 0.000 Re
0.500 0.500 0.000 Re
0.196 0.696 0.500 B
0.696 0.804 0.500 B
0.804 0.304 0.500 B
0.304 0.196 0.500 B
0.346 0.846 0.000 Te
0.846 0.654 0.000 Te
0.654 0.154 0.000 Te
0.154 0.346 0.000 Te
```

Theoretical density in Mg/m³: 8.893
SG: P4/mbm

(ii)
A plane-wave DFT calculation with PBE was carried out for ReB2Te2 after structural relaxation.

```
ReB2Te2
1.0
-2.481 1.863 -0.249
-1.285 -1.380 2.476
1.718 5.694 6.021
Re B Te
1 2 2
Direct
0.000 0.000 0.000 Re
0.750 0.250 0.500 B
0.250 0.750 0.500 B
0.392 0.392 0.215 Te
0.608 0.608 0.785 Te
```

Theoretical density in Mg/m³: 9.713
SG: I4/mmm

Quick one: most stable of them? (ii)

(i)
A plane-wave DFT calculation with PBE was carried out for Re2BTe after structural relaxation.

```
Re2BTe
1.0
0.000 3.062 3.062
3.062 0.000 3.062
3.062 3.062 0.000
Re B Te
2 1 1
Direct
0.250 0.250 0.250 Re
0.750 0.750 0.750 Re
0.000 0.000 0.000 B
0.500 0.500 0.500 Te
```

Theoretical density in Mg/m³: 14.773
SG: Fm-3m

(ii)
A plane-wave DFT calculation with PBE was carried out for Re2BTe after structural relaxation.

```
Re2BTe
1.0
-1.400 -4.170 1.402
-1.217 -1.047 -4.329
4.946 -5.098 -2.620
Re B Te
4 2 2
Direct
0.505 0.125 0.250 Re
0.245 0.625 0.250 Re
0.375 0.495 0.750 Re
0.875 0.755 0.750 Re
0.500 0.500 0.000 B
0.250 0.750 0.500 B
0.000 0.000 0.000 Te
0.750 0.250 0.500 Te
```

Theoretical density in Mg/m³: 11.650
SG: I-42d

Quick one: most stable of them? (ii)

(i)
A plane-wave DFT calculation with PBE was carried out for ThReB4 after structural relaxation.

```
ThReB4
1.0
3.176 0.000 0.000
1.588 4.763 0.163
1.588 1.549 4.507
Th Re B
1 1 4
Direct
0.000 0.000 0.000 Th
0.500 0.500 0.500 Re
0.248 0.419 0.085 B
0.248 0.085 0.419 B
0.752 0.581 0.915 B
0.752 0.915 0.581 B
```

Theoretical density in Mg/m³: 11.371
SG: Immm

(ii)
A plane-wave DFT calculation with PBE was carried out for ThReB4 after structural relaxation.

```
ThReB4
1.0
-5.458 -0.435 -2.647
-0.021 -4.438 4.158
-1.413 2.373 2.525
Th Re B
2 2 8
Direct
0.301 0.699 0.000 Th
0.699 0.301 0.000 Th
0.182 0.182 0.000 Re
0.818 0.818 0.000 Re
0.375 0.064 0.500 B
0.625 0.936 0.500 B
0.064 0.375 0.500 B
0.936 0.625 0.500 B
0.371 0.371 0.500 B
0.629 0.629 0.500 B
0.089 0.911 0.500 B
0.911 0.089 0.500 B
```

Theoretical density in Mg/m³: 11.415
SG: Cmmm

Quick one: most stable of them? (ii)

(i)
A plane-wave DFT calculation with PBE was carried out for Ti3ReB after structural relaxation.

```
Ti3ReB
1.0
-3.612 2.764 1.181
-2.018 -0.861 -4.155
-2.228 -3.701 1.849
Re B Ti
1 1 3
Direct
0.000 0.000 0.000 Re
0.500 0.500 0.500 B
0.000 0.500 0.000 Ti
0.000 0.000 0.500 Ti
0.500 0.000 0.000 Ti
```

Theoretical density in Mg/m³: 5.451
SG: Pm-3m

(ii)
A plane-wave DFT calculation with PBE was carried out for Ti3ReB after structural relaxation.

```
Ti3ReB
1.0
4.214 0.000 0.000
0.000 4.214 0.000
0.000 0.000 4.214
Re B Ti
1 1 3
Direct
0.500 0.500 0.500 Re
0.000 0.000 0.000 B
0.000 0.500 0.000 Ti
0.000 0.000 0.500 Ti
0.500 0.000 0.000 Ti
```

Theoretical density in Mg/m³: 7.561
SG: Pm-3m

Quick one: most stable of them? (ii)

(i)
A plane-wave DFT calculation with PBE was carried out for TiReB after structural relaxation.

```
TiReB
1.0
-0.137 -2.537 -1.958
2.194 1.242 -1.763
5.123 -2.053 4.930
Ti Re B
2 2 2
Direct
0.585 0.750 0.171 Ti
0.415 0.250 0.829 Ti
0.801 0.750 0.602 Re
0.199 0.250 0.398 Re
0.965 0.750 0.931 B
0.035 0.250 0.069 B
```

Theoretical density in Mg/m³: 11.409
SG: Cmcm

(ii)
A plane-wave DFT calculation with PBE was carried out for TiReB after structural relaxation.

```
TiReB
1.0
3.175 0.000 0.000
0.000 5.170 0.000
0.000 0.000 9.136
Ti B Re
4 4 4
Direct
0.250 0.250 0.950 Ti
0.750 0.250 0.450 Ti
0.750 0.750 0.050 Ti
0.250 0.750 0.550 Ti
0.750 0.749 0.360 B
0.750 0.249 0.140 B
0.250 0.751 0.860 B
0.250 0.251 0.640 B
0.250 0.500 0.250 Re
0.250 0.000 0.250 Re
0.750 0.500 0.750 Re
0.750 0.000 0.750 Re
```

Theoretical density in Mg/m³: 10.846
SG: Pnma

(iii)
A plane-wave DFT calculation with PBE was carried out for TiReB after structural relaxation.

```
TiReB
1.0
2.958 0.000 0.000
0.000 2.958 0.000
-1.479 -1.479 4.312
Re B Ti
1 1 1
Direct
0.246 0.246 0.493 Re
0.643 0.643 0.285 B
0.961 0.961 0.922 Ti
```

Theoretical density in Mg/m³: 10.778
SG: I4mm

Quick one: most stable of them? (i)

(i)
A plane-wave DFT calculation with PBE was carried out for TlRe2B after structural relaxation.

```
TlRe2B
1.0
-1.148 -3.897 -1.841
2.875 -2.112 2.677
-4.563 -3.847 5.582
Re Tl B
4 2 2
Direct
0.491 0.125 0.250 Re
0.259 0.625 0.250 Re
0.375 0.509 0.750 Re
0.875 0.741 0.750 Re
0.000 0.000 0.000 Tl
0.750 0.250 0.500 Tl
0.500 0.500 0.000 B
0.250 0.750 0.500 B
```

Theoretical density in Mg/m³: 13.015
SG: I-42d

(ii)
A plane-wave DFT calculation with PBE was carried out for TlRe2B after structural relaxation.

```
TlRe2B
1.0
1.977 -3.743 1.094
0.865 -0.871 4.196
-2.235 -3.123 2.091
Re Tl B
2 1 1
Direct
0.250 0.250 0.250 Re
0.750 0.750 0.750 Re
0.500 0.500 0.500 Tl
0.000 0.000 0.000 B
```

Theoretical density in Mg/m³: 16.509
SG: Fm-3m

Quick one: most stable of them? (i)

(i)
A plane-wave DFT calculation with PBE was carried out for VRe3B after structural relaxation.

```
VRe3B
1.0
-0.745 2.053 1.933
-5.008 -4.200 2.530
4.984 -1.699 3.726
V Re B
2 6 2
Direct
0.750 0.322 0.488 V
0.250 0.678 0.512 V
0.750 0.513 0.185 Re
0.250 0.174 0.110 Re
0.750 0.939 0.325 Re
0.250 0.487 0.815 Re
0.250 0.061 0.675 Re
0.750 0.826 0.890 Re
0.250 0.744 0.132 B
0.750 0.256 0.868 B
```

Theoretical density in Mg/m³: 15.906
SG: P2_1/m

(ii)
A plane-wave DFT calculation with PBE was carried out for VRe3B after structural relaxation.

```
VRe3B
1.0
4.459 0.000 0.000
0.000 4.459 0.000
0.000 0.000 4.459
Re B V
3 1 1
Direct
0.000 0.500 0.000 Re
0.000 0.000 0.500 Re
0.500 0.000 0.000 Re
0.500 0.500 0.500 B
0.000 0.000 0.000 V
```

Theoretical density in Mg/m³: 11.619
SG: Pm-3m

(iii)
A plane-wave DFT calculation with PBE was carried out for VRe3B after structural relaxation.

```
VRe3B
1.0
-0.937 -0.589 3.944
3.053 -2.712 0.320
2.565 3.013 1.059
Re B V
3 1 1
Direct
0.000 0.500 0.000 Re
0.000 0.000 0.500 Re
0.500 0.000 0.000 Re
0.000 0.000 0.000 B
0.500 0.500 0.500 V
```

Theoretical density in Mg/m³: 14.988
SG: Pm-3m

Quick one: most stable of them? (i)